! As2PtSe, relaxed, DFT PBE-GGA; values from VASP
! **Density**: 8.88 g cm⁻³
! **Calculated total energy**: -4.585 eV per atom
! **Formation energy (no corrections)**: 0.121 eV per atom
&SYSTEM
  ibrav = 0, nat = 4, ntyp = 3
/
ATOMIC_SPECIES
Pt 195.08 Pt.upf
As 74.92 As.upf
Se 78.96 Se.upf
CELL_PARAMETERS angstrom
-2.235 0.865 1.410
-2.068 -1.589 -2.303
0.211 -6.833 4.525
ATOMIC_POSITIONS crystal
Pt 0.500 0.500 0.250
As 0.000 0.000 0.444
As 0.000 0.000 0.056
Se 0.500 0.500 0.750

! As2PtSe, relaxed, DFT PBE-GGA; values from VASP
! **Density**: 8.99 g cm⁻³
! **Calculated total energy**: -4.819 eV per atom
! **Formation energy (no corrections)**: -0.113 eV per atom
&SYSTEM
  ibrav = 0, nat = 4, ntyp = 3
/
ATOMIC_SPECIES
Se 78.96 Se.upf
As 74.92 As.upf
Pt 195.08 Pt.upf
CELL_PARAMETERS angstrom
-0.020 6.687 1.775
-2.805 5.146 3.676
0.677 4.830 4.907
ATOMIC_POSITIONS crystal
Se 0.750 0.750 0.750
As 0.510 0.510 0.510
As 0.990 0.990 0.990
Pt 0.250 0.250 0.250

! AsPtSe, relaxed, DFT PBE-GGA; values from VASP
! **Density**: 8.90 g cm⁻³
! **Calculated total energy**: -4.628 eV per atom
! **Formation energy (no corrections)**: 0.097 eV per atom
&SYSTEM
  ibrav = 0, nat = 6, ntyp = 3
/
ATOMIC_SPECIES
Se 78.96 Se.upf
Pt 195.08 Pt.upf
As 74.92 As.upf
CELL_PARAMETERS angstrom
5.239 0.000 -1.343
0.000 4.186 0.000
-1.191 0.000 6.243
ATOMIC_POSITIONS crystal
Se 0.899 0.750 0.798
Se 0.101 0.250 0.202
Pt 0.583 0.250 0.167
Pt 0.417 0.750 0.833
As 0.315 0.250 0.630
As 0.685 0.750 0.370

! As2PtSe, relaxed, DFT PBE-GGA; values from VASP
! **Density**: 9.34 g cm⁻³
! **Calculated total energy**: -4.770 eV per atom
! **Formation energy (no corrections)**: -0.064 eV per atom
&SYSTEM
  ibrav = 0, nat = 4, ntyp = 3
/
ATOMIC_SPECIES
Se 78.96 Se.upf
Pt 195.08 Pt.upf
As 74.92 As.upf
CELL_PARAMETERS angstrom
-1.924 -1.775 -3.795
1.847 -4.125 -0.909
-2.610 1.338 4.500
ATOMIC_POSITIONS crystal
Se 0.625 0.375 0.500
Pt 0.625 0.375 0.000
As 0.125 0.875 0.000
As 0.125 0.875 0.500

! AsPt2Se, relaxed, DFT PBE-GGA; values from VASP
! **Density**: 13.36 g cm⁻³
! **Calculated total energy**: -4.979 eV per atom
! **Formation energy (no corrections)**: 0.075 eV per atom
&SYSTEM
  ibrav = 0, nat = 4, ntyp = 3
/
ATOMIC_SPECIES
Pt 195.08 Pt.upf
Se 78.96 Se.upf
As 74.92 As.upf
CELL_PARAMETERS angstrom
1.858 2.125 3.598
-2.662 2.295 2.926
-0.688 -1.623 4.220
ATOMIC_POSITIONS crystal
Pt 0.750 0.750 0.750
Pt 0.250 0.250 0.250
Se 0.500 0.500 0.500
As 0.000 0.000 0.000

! As2PtSe, relaxed, DFT PBE-GGA; values from VASP
! **Density**: 7.04 g cm⁻³
! **Calculated total energy**: -4.659 eV per atom
! **Formation energy (no corrections)**: 0.047 eV per atom
&SYSTEM
  ibrav = 0, nat = 4, ntyp = 3
/
ATOMIC_SPECIES
As 74.92 As.upf
Pt 195.08 Pt.upf
Se 78.96 Se.upf
CELL_PARAMETERS angstrom
3.864 0.000 0.000
0.000 4.844 0.300
0.000 5.913 5.708
ATOMIC_POSITIONS crystal
As 0.000 0.361 0.392
As 0.000 0.139 0.108
Pt 0.500 0.250 0.250
Se 0.500 0.750 0.750

! AsPt2Se, relaxed, DFT PBE-GGA; values from VASP
! **Density**: 13.31 g cm⁻³
! **Calculated total energy**: -4.972 eV per atom
! **Formation energy (no corrections)**: 0.082 eV per atom
&SYSTEM
  ibrav = 0, nat = 4, ntyp = 3
/
ATOMIC_SPECIES
Se 78.96 Se.upf
Pt 195.08 Pt.upf
As 74.92 As.upf
CELL_PARAMETERS angstrom
3.305 0.036 0.000
-0.035 3.305 0.000
0.000 0.000 6.210
ATOMIC_POSITIONS crystal
Se 0.500 0.500 0.250
Pt 0.000 0.000 0.510
Pt 0.000 0.000 0.990
As 0.500 0.500 0.750

! AsPtSe, relaxed, DFT PBE-GGA; values from VASP
! **Density**: 9.59 g cm⁻³
! **Calculated total energy**: -5.022 eV per atom
! **Formation energy (no corrections)**: -0.297 eV per atom
&SYSTEM
  ibrav = 0, nat = 3, ntyp = 3
/
ATOMIC_SPECIES
As 74.92 As.upf
Se 78.96 Se.upf
Pt 195.08 Pt.upf
CELL_PARAMETERS angstrom
3.791 0.000 0.000
-1.896 3.283 0.000
0.000 0.000 4.855
ATOMIC_POSITIONS crystal
As 0.000 0.000 0.072
Se 0.333 0.667 0.606
Pt 0.667 0.333 0.322

! As2PtSe, relaxed, DFT PBE-GGA; values from VASP
! **Density**: 7.79 g cm⁻³
! **Calculated total energy**: -4.571 eV per atom
! **Formation energy (no corrections)**: 0.135 eV per atom
&SYSTEM
  ibrav = 0, nat = 4, ntyp = 3
/
ATOMIC_SPECIES
As 74.92 As.upf
Se 78.96 Se.upf
Pt 195.08 Pt.upf
CELL_PARAMETERS angstrom
2.817 0.000 0.000
0.000 4.185 0.000
0.000 0.000 7.661
ATOMIC_POSITIONS crystal
As 0.500 0.500 0.423
As 0.000 0.000 0.003
Se 0.500 0.500 0.757
Pt 0.000 0.000 0.317

! As3PtSe, relaxed, DFT PBE-GGA; values from VASP
! **Density**: 7.07 g cm⁻³
! **Calculated total energy**: -3.555 eV per atom
! **Formation energy (no corrections)**: 1.140 eV per atom
! **Energy relative to the lowest polymorph listed for this composition**: 0.498 eV per atom
&SYSTEM
  ibrav = 0, nat = 5, ntyp = 3
/
ATOMIC_SPECIES
Pt 195.08 Pt.upf
As 74.92 As.upf
Se 78.96 Se.upf
CELL_PARAMETERS angstrom
-0.618 3.127 3.712
-4.802 0.149 -0.925
-0.704 -3.760 3.050
ATOMIC_POSITIONS crystal
Pt 0.500 0.500 0.500
As 0.500 0.000 0.000
As 0.000 0.000 0.500
As 0.000 0.500 0.000
Se 0.000 0.000 0.000

! AsPt3Se, relaxed, DFT PBE-GGA; values from VASP
! **Density**: 11.81 g cm⁻³
! **Calculated total energy**: -4.591 eV per atom
! **Formation energy (no corrections)**: 0.660 eV per atom
! **Energy relative to the lowest polymorph listed for this composition**: 0.000 eV per atom
&SYSTEM
  ibrav = 0, nat = 5, ntyp = 3
/
ATOMIC_SPECIES
Pt 195.08 Pt.upf
As 74.92 As.upf
Se 78.96 Se.upf
CELL_PARAMETERS angstrom
4.702 0.000 0.000
0.000 4.702 0.000
0.000 0.000 4.702
ATOMIC_POSITIONS crystal
Pt 0.500 0.000 0.000
Pt 0.000 0.500 0.000
Pt 0.000 0.000 0.500
As 0.000 0.000 0.000
Se 0.500 0.500 0.500

! As3PtSe, relaxed, DFT PBE-GGA; values from VASP
! **Density**: 6.94 g cm⁻³
! **Calculated total energy**: -4.053 eV per atom
! **Formation energy (no corrections)**: 0.642 eV per atom
! **Energy relative to the lowest polymorph listed for this composition**: 0.000 eV per atom
&SYSTEM
  ibrav = 0, nat = 5, ntyp = 3
/
ATOMIC_SPECIES
Pt 195.08 Pt.upf
As 74.92 As.upf
Se 78.96 Se.upf
CELL_PARAMETERS angstrom
-4.775 0.234 -1.174
-1.165 -2.029 4.331
-0.278 4.479 2.024
ATOMIC_POSITIONS crystal
Pt 0.000 0.000 0.000
As 0.000 0.000 0.500
As 0.500 0.000 0.000
As 0.000 0.500 0.000
Se 0.500 0.500 0.500

! As2PtSe, relaxed, DFT PBE-GGA; values from VASP
! **Density**: 9.09 g cm⁻³
! **Calculated total energy**: -4.760 eV per atom
! **Formation energy (no corrections)**: -0.054 eV per atom
&SYSTEM
  ibrav = 0, nat = 4, ntyp = 3
/
ATOMIC_SPECIES
Se 78.96 Se.upf
As 74.92 As.upf
Pt 195.08 Pt.upf
CELL_PARAMETERS angstrom
6.599 0.010 0.006
5.505 3.637 0.006
5.505 1.659 3.237
ATOMIC_POSITIONS crystal
Se 0.758 0.758 0.758
As 0.244 0.244 0.244
As 0.995 0.995 0.995
Pt 0.503 0.503 0.503

! As2PtSe, relaxed, DFT PBE-GGA; values from VASP
! **Density**: 9.45 g cm⁻³
! **Calculated total energy**: -4.389 eV per atom
! **Formation energy (no corrections)**: 0.317 eV per atom
&SYSTEM
  ibrav = 0, nat = 4, ntyp = 3
/
ATOMIC_SPECIES
As 74.92 As.upf
Se 78.96 Se.upf
Pt 195.08 Pt.upf
CELL_PARAMETERS angstrom
-4.231 -1.131 -1.715
3.228 -1.902 -2.843
-0.008 -2.936 1.955
ATOMIC_POSITIONS crystal
As 0.000 0.000 0.000
As 0.500 0.500 0.000
Se 0.000 0.500 0.500
Pt 0.500 0.000 0.500

! AsPtSe, relaxed, DFT PBE-GGA; values from VASP
! **Density**: 9.69 g cm⁻³
! **Calculated total energy**: -4.612 eV per atom
! **Formation energy (no corrections)**: 0.113 eV per atom
&SYSTEM
  ibrav = 0, nat = 3, ntyp = 3
/
ATOMIC_SPECIES
As 74.92 As.upf
Pt 195.08 Pt.upf
Se 78.96 Se.upf
CELL_PARAMETERS angstrom
6.734 -0.121 0.127
6.091 2.873 0.120
0.643 0.143 2.991
ATOMIC_POSITIONS crystal
As 0.038 0.038 0.962
Pt 0.655 0.655 0.345
Se 0.307 0.307 0.693

! AsPt2Se, relaxed, DFT PBE-GGA; values from VASP
! **Density**: 12.98 g cm⁻³
! **Calculated total energy**: -4.949 eV per atom
! **Formation energy (no corrections)**: 0.105 eV per atom
&SYSTEM
  ibrav = 0, nat = 4, ntyp = 3
/
ATOMIC_SPECIES
As 74.92 As.upf
Pt 195.08 Pt.upf
Se 78.96 Se.upf
CELL_PARAMETERS angstrom
-4.112 1.432 3.696
-2.097 -3.784 3.730
4.388 3.025 -2.054
ATOMIC_POSITIONS crystal
As 0.224 0.724 0.500
Pt 0.001 0.001 0.000
Pt 0.753 0.253 0.500
Se 0.522 0.522 0.000

! AsPtSe, relaxed, DFT PBE-GGA; values from VASP
! **Density**: 9.56 g cm⁻³
! **Calculated total energy**: -4.877 eV per atom
! **Formation energy (no corrections)**: -0.152 eV per atom
&SYSTEM
  ibrav = 0, nat = 3, ntyp = 3
/
ATOMIC_SPECIES
As 74.92 As.upf
Pt 195.08 Pt.upf
Se 78.96 Se.upf
CELL_PARAMETERS angstrom
4.409 0.000 0.000
2.204 3.818 0.000
2.204 1.273 3.600
ATOMIC_POSITIONS crystal
As 0.500 0.500 0.500
Pt 0.250 0.250 0.250
Se 0.000 0.000 0.000

! As2PtSe, relaxed, DFT PBE-GGA; values from VASP
! **Density**: 8.64 g cm⁻³
! **Calculated total energy**: -4.440 eV per atom
! **Formation energy (no corrections)**: 0.266 eV per atom
&SYSTEM
  ibrav = 0, nat = 4, ntyp = 3
/
ATOMIC_SPECIES
As 74.92 As.upf
Pt 195.08 Pt.upf
Se 78.96 Se.upf
CELL_PARAMETERS angstrom
-1.122 2.595 0.537
-2.623 -1.011 -0.617
-1.258 -2.496 9.439
ATOMIC_POSITIONS crystal
As 0.500 0.500 0.296
As 0.000 0.000 0.042
Pt 0.000 0.000 0.469
Se 0.500 0.500 0.693

! As4PtSe, relaxed, DFT PBE-GGA; values from VASP
! **Density**: 8.06 g cm⁻³
! **Calculated total energy**: -4.000 eV per atom
! **Formation energy (no corrections)**: 0.687 eV per atom
&SYSTEM
  ibrav = 0, nat = 6, ntyp = 3
/
ATOMIC_SPECIES
As 74.92 As.upf
Pt 195.08 Pt.upf
Se 78.96 Se.upf
CELL_PARAMETERS angstrom
-3.501 0.488 4.224
-4.563 -3.080 0.164
-0.448 -4.065 3.690
ATOMIC_POSITIONS crystal
As 0.377 0.377 0.377
As 0.377 0.377 0.869
As 0.869 0.377 0.377
As 0.377 0.869 0.377
Pt 0.750 0.750 0.750
Se 0.000 0.000 0.000

! As2PtSe, relaxed, DFT PBE-GGA; values from VASP
! **Density**: 8.28 g cm⁻³
! **Calculated total energy**: -4.668 eV per atom
! **Formation energy (no corrections)**: 0.038 eV per atom
&SYSTEM
  ibrav = 0, nat = 4, ntyp = 3
/
ATOMIC_SPECIES
As 74.92 As.upf
Pt 195.08 Pt.upf
Se 78.96 Se.upf
CELL_PARAMETERS angstrom
6.163 -0.020 0.002
3.647 4.968 -0.002
-4.742 -2.797 2.770
ATOMIC_POSITIONS crystal
As 0.011 0.011 0.000
As 0.662 0.162 0.500
Pt 0.496 0.496 0.000
Se 0.332 0.832 0.500